Record 1
Entry from Alexandria via LeMat-Bulk: a geometry-optimized ZrTi2IrN structure (PBE).

Unit cell a=4.0876 b=4.0876 c=4.4563 alpha=90.00 beta=90.00 gamma=90.00
With the nearest neighbours (Å) after each atom.
Fractional coordinates of all 5 atoms:
Zr 0.0000 0.0000 0.0000  2 N 2.23
Ti 0.0000 0.5000 0.5000  2 N 2.04
Ti 0.5000 0.0000 0.5000  2 N 2.04
Ir 0.5000 0.5000 0.0000  4 Zr 2.89, 8 Ti 3.02
N 0.0000 0.0000 0.5000  4 Ti 2.04, 2 Zr 2.23

## Properties
VASP energy	-9.335	eV/atom
Fermi-level density of states	1.24	states/eV per atom
space-group type	P4/mmm (123)
spin magnetization	0.00	Bohr magnetons per cell



Record 2
Entry from Alexandria via LeMat-Bulk: a geometry-optimized PaFeRhAu structure (PBE).

Unit cell a=6.5161 b=6.5161 c=6.5161 alpha=90.00 beta=90.00 gamma=90.00
With the nearest neighbours (Å) after each atom.
Fractional coordinates of all 16 atoms:
Pa 0.0000 0.0000 0.0000  4 Fe 2.82, 4 Rh 2.82
Pa 0.0000 0.5000 0.5000  4 Fe 2.82, 4 Rh 2.82
Pa 0.5000 0.0000 0.5000  4 Fe 2.82, 4 Rh 2.82
Pa 0.5000 0.5000 0.0000  4 Fe 2.82, 4 Rh 2.82
Fe 0.2500 0.2500 0.7500  4 Au 2.82, 4 Pa 2.82
Fe 0.2500 0.7500 0.2500  4 Au 2.82, 4 Pa 2.82
Fe 0.7500 0.2500 0.2500  4 Au 2.82, 4 Pa 2.82
Fe 0.7500 0.7500 0.7500  4 Au 2.82, 4 Pa 2.82
Rh 0.2500 0.2500 0.2500  4 Pa 2.82, 4 Au 2.82
Rh 0.2500 0.7500 0.7500  4 Pa 2.82, 4 Au 2.82
Rh 0.7500 0.2500 0.7500  4 Pa 2.82, 4 Au 2.82
Rh 0.7500 0.7500 0.2500  4 Pa 2.82, 4 Au 2.82
Au 0.0000 0.0000 0.5000  4 Rh 2.82, 4 Fe 2.82
Au 0.0000 0.5000 0.0000  4 Rh 2.82, 4 Fe 2.82
Au 0.5000 0.0000 0.0000  4 Rh 2.82, 4 Fe 2.82
Au 0.5000 0.5000 0.5000  4 Rh 2.82, 4 Fe 2.82

## Properties
VASP energy	-7.392	eV/atom
Fermi-level density of states	1.39	states/eV per atom
space-group type	F-43m (216)
spin magnetization	3.07	Bohr magnetons per cell



Record 3
Entry from Alexandria via LeMat-Bulk: a geometry-optimized AcHfZr2N4 structure (PBE).

Unit cell a=6.8215 b=6.8215 c=6.8215 alpha=120.96 beta=119.36 gamma=89.73
With the nearest neighbours (Å) after each atom.
Fractional coordinates of all 16 atoms:
Ac 0.5000 0.0000 0.0000  6 N 2.56-2.57
Ac 0.5000 0.5000 0.5000  6 N 2.56-2.57
Hf 0.0000 0.0000 0.0000  6 N 2.36
Hf 0.5000 0.0000 0.5000  6 N 2.36
Zr 0.0000 0.0000 0.5000  6 N 2.25-2.27
Zr 0.0000 0.5000 0.0000  6 N 2.25-2.27
Zr 0.0000 0.5000 0.5000  6 N 2.46-2.50
Zr 0.5000 0.5000 0.0000  6 N 2.46-2.50
N 0.2102 0.2427 0.9675  3 Zr 2.25-2.50, 1 Hf 2.36
N 0.2248 0.7573 0.4675  3 Zr 2.25-2.50, 1 Hf 2.36
N 0.2350 0.2245 0.4895  3 Zr 2.27-2.46, 2 Hf 2.36
N 0.2350 0.7456 0.0105  3 Zr 2.27-2.46, 2 Hf 2.36
N 0.7650 0.2544 0.9895  3 Zr 2.27-2.46, 2 Hf 2.36
N 0.7650 0.7755 0.5105  3 Zr 2.27-2.46, 2 Hf 2.36
N 0.7752 0.2427 0.5325  3 Zr 2.25-2.50, 1 Hf 2.36
N 0.7898 0.7573 0.0325  3 Zr 2.25-2.50, 1 Hf 2.36

## Properties
VASP energy	-9.413	eV/atom
Fermi-level density of states	0.33	states/eV per atom
space-group type	Imma (74)
spin magnetization	0.00	Bohr magnetons per cell



Record 4
Entry from Alexandria via LeMat-Bulk: a geometry-optimized Ca2ScAlAu6 structure (PBE).

Unit cell a=4.9369 b=6.8816 c=7.4470 alpha=71.25 beta=70.79 gamma=69.22
With the nearest neighbours (Å) after each atom.
Fractional coordinates of all 10 atoms:
Ca 0.2401 0.3364 0.1856  5 Au 2.94-3.04
Ca 0.7599 0.6636 0.8144  5 Au 2.94-3.04
Sc 0.0000 0.0000 0.0000  8 Au 2.86-3.01
Al 0.5000 0.5000 0.5000  8 Au 2.63-2.85
Au 0.0411 0.2937 0.6254  4 Au 2.82-2.85, 2 Al 2.84-2.85, 1 Sc 2.86, 2 Ca 2.98-3.04
Au 0.2597 0.8567 0.6217  1 Al 2.63, 1 Au 2.82
Au 0.4986 0.1788 0.8248  1 Al 2.70, 3 Au 2.85-2.96, 2 Sc 2.88, 1 Ca 2.94
Au 0.5014 0.8212 0.1752  1 Al 2.70, 3 Au 2.85-2.96, 2 Sc 2.88, 1 Ca 2.94
Au 0.7403 0.1433 0.3783  1 Al 2.63, 1 Au 2.82
Au 0.9589 0.7063 0.3746  4 Au 2.82-2.85, 2 Al 2.84-2.85, 1 Sc 2.86, 2 Ca 2.98-3.04

## Properties
VASP energy	-3.968	eV/atom
Fermi-level density of states	0.53	states/eV per atom
space-group type	P-1 (2)
spin magnetization	0.00	Bohr magnetons per cell



Record 5
Entry from Alexandria via LeMat-Bulk: a geometry-optimized LiAlPb2 structure (PBE).

Unit cell a=8.0446 b=8.0446 c=6.4943 alpha=90.00 beta=90.00 gamma=90.00
With the nearest neighbours (Å) after each atom.
Fractional coordinates of all 16 atoms:
Li 0.0000 0.0000 0.0000  4 Pb 3.05, 2 Al 3.25
Li 0.0000 0.5000 0.2500  4 Pb 3.05, 2 Al 3.25
Li 0.5000 0.0000 0.7500  4 Pb 3.05, 2 Al 3.25
Li 0.5000 0.5000 0.5000  4 Pb 3.05, 2 Al 3.25
Al 0.0000 0.0000 0.5000  4 Pb 2.87
Al 0.0000 0.5000 0.7500  4 Pb 2.87
Al 0.5000 0.0000 0.2500  4 Pb 2.87
Al 0.5000 0.5000 0.0000  4 Pb 2.87
Pb 0.2332 0.2500 0.6250  2 Al 2.87, 2 Li 3.05
Pb 0.2500 0.7332 0.8750  2 Al 2.87, 2 Li 3.05
Pb 0.2500 0.7668 0.3750  2 Al 2.87, 2 Li 3.05
Pb 0.2668 0.2500 0.1250  2 Al 2.87, 2 Li 3.05
Pb 0.7332 0.7500 0.1250  2 Al 2.87, 2 Li 3.05
Pb 0.7500 0.2332 0.3750  2 Al 2.87, 2 Li 3.05
Pb 0.7500 0.2668 0.8750  2 Al 2.87, 2 Li 3.05
Pb 0.7668 0.7500 0.6250  2 Al 2.87, 2 Li 3.05

## Properties
VASP energy	-3.117	eV/atom
Fermi-level density of states	0.71	states/eV per atom
space-group type	I-42d (122)
spin magnetization	0.00	Bohr magnetons per cell



Record 6
Entry from Alexandria via LeMat-Bulk: a geometry-optimized SrGaTcGe2 structure (PBE).

Unit cell a=4.8665 b=4.8665 c=4.8825 alpha=90.00 beta=90.00 gamma=90.00
With the nearest neighbours (Å) after each atom.
Fractional coordinates of all 5 atoms:
Sr 0.0000 0.0000 0.0000  4 Ga 3.44, 8 Ge 3.45
Ga 0.5000 0.5000 0.0000  2 Tc 2.44
Tc 0.5000 0.5000 0.5000  4 Ge 2.43, 2 Ga 2.44
Ge 0.0000 0.5000 0.5000  2 Tc 2.43
Ge 0.5000 0.0000 0.5000  2 Tc 2.43

## Properties
VASP energy	-5.045	eV/atom
Fermi-level density of states	0.79	states/eV per atom
space-group type	P4/mmm (123)
spin magnetization	0.00	Bohr magnetons per cell



Record 7
Entry from Alexandria via LeMat-Bulk: a geometry-optimized K2Ti3CdO8 structure (PBE).

Unit cell a=7.3960 b=7.3960 c=7.3960 alpha=49.59 beta=49.59 gamma=49.59
With the nearest neighbours (Å) after each atom.
Fractional coordinates of all 14 atoms:
K 0.0000 0.0000 0.0000  4 O 2.62-2.67
K 0.3538 0.3538 0.3538  6 O 2.65-2.77
Ti 0.3568 0.3568 0.8558  6 O 1.97-2.09
Ti 0.3568 0.8558 0.3568  6 O 1.97-2.09
Ti 0.8558 0.3568 0.3568  6 O 1.97-2.09
Cd 0.8231 0.8231 0.8231  3 O 2.12
O 0.0859 0.0859 0.5443  2 Ti 1.97
O 0.0859 0.5443 0.0859  2 Ti 1.97
O 0.1348 0.1348 0.1348  3 Ti 2.09
O 0.1852 0.6067 0.6067  2 Ti 2.00, 1 Cd 2.12
O 0.5443 0.0859 0.0859  2 Ti 1.97
O 0.5762 0.5762 0.5762  3 Ti 2.06
O 0.6067 0.1852 0.6067  2 Ti 2.00, 1 Cd 2.12
O 0.6067 0.6067 0.1852  2 Ti 2.00, 1 Cd 2.12

## Properties
VASP energy	-7.165	eV/atom
Fermi-level density of states	0.00	states/eV per atom
space-group type	R3m (160)
spin magnetization	0.00	Bohr magnetons per cell



Record 8
Entry from Alexandria via LeMat-Bulk: a geometry-optimized CsRb2LaF6 structure (PBE).

Unit cell a=7.2629 b=7.2629 c=7.2629 alpha=60.00 beta=60.00 gamma=60.00
With the nearest neighbours (Å) after each atom.
Fractional coordinates of all 10 atoms:
Cs 0.0000 0.0000 0.0000  6 F 2.82
Rb 0.2500 0.2500 0.2500  12 F 3.64
Rb 0.7500 0.7500 0.7500  12 F 3.64
La 0.5000 0.5000 0.5000  6 F 2.32
F 0.2744 0.2744 0.7256  1 La 2.32
F 0.2744 0.7256 0.2744  1 La 2.32
F 0.2744 0.7256 0.7256  1 La 2.32
F 0.7256 0.2744 0.2744  1 La 2.32
F 0.7256 0.2744 0.7256  1 La 2.32
F 0.7256 0.7256 0.2744  1 La 2.32

## Properties
VASP energy	-5.099	eV/atom
Fermi-level density of states	0.00	states/eV per atom
space-group type	Fm-3m (225)
spin magnetization	0.00	Bohr magnetons per cell



Record 9
Entry from Alexandria via LeMat-Bulk: a geometry-optimized Sr2AlZn6Pt structure (PBE).

Unit cell a=6.6779 b=6.6801 c=6.7341 alpha=60.50 beta=89.70 gamma=60.43
With the nearest neighbours (Å) after each atom.
Fractional coordinates of all 10 atoms:
Sr 0.0565 0.1303 0.1864  1 Pt 3.07, 4 Zn 3.38-3.41
Sr 0.9435 0.8697 0.8136  1 Pt 3.07, 4 Zn 3.38-3.41
Al 0.0000 0.5000 0.5000  6 Zn 2.66-2.68
Zn 0.3923 0.9868 0.6806  1 Pt 2.56, 5 Zn 2.64-2.79, 1 Al 2.68
Zn 0.3931 0.2802 0.8364  1 Pt 2.55, 5 Zn 2.64-2.76, 1 Al 2.68
Zn 0.3996 0.4353 0.3843  1 Pt 2.55, 1 Al 2.66, 5 Zn 2.69-2.74
Zn 0.6004 0.5647 0.6157  1 Pt 2.55, 1 Al 2.66, 5 Zn 2.69-2.74
Zn 0.6069 0.7198 0.1636  1 Pt 2.55, 5 Zn 2.64-2.76, 1 Al 2.68
Zn 0.6077 0.0132 0.3194  1 Pt 2.56, 5 Zn 2.64-2.79, 1 Al 2.68
Pt 0.5000 0.5000 0.0000  6 Zn 2.55-2.56

## Properties
VASP energy	-2.378	eV/atom
Fermi-level density of states	0.48	states/eV per atom
space-group type	P-1 (2)
spin magnetization	0.00	Bohr magnetons per cell



Record 10
Entry from Alexandria via LeMat-Bulk: a geometry-optimized Na8B11C5 structure (PBE).

Unit cell a=9.0433 b=9.0433 c=4.9895 alpha=90.00 beta=90.00 gamma=142.75
With the nearest neighbours (Å) after each atom.
Fractional coordinates of all 24 atoms:
Na 0.1235 0.3769 0.5015  4 C 2.69-2.73, 8 B 2.69-2.76, 6 Na 2.88-2.89
Na 0.1263 0.8737 0.0000  8 B 2.69-2.78, 4 C 2.69-2.73, 6 Na 2.88-2.89
Na 0.3733 0.6267 0.0028  9 B 2.69-2.81, 3 C 2.69-2.70, 6 Na 2.88-2.89
Na 0.3769 0.1235 0.5015  4 C 2.69-2.73, 8 B 2.69-2.76, 6 Na 2.88-2.89
Na 0.6231 0.8765 0.5015  4 C 2.69-2.73, 8 B 2.69-2.76, 6 Na 2.88-2.89
Na 0.6267 0.3733 0.0028  9 B 2.69-2.81, 3 C 2.69-2.70, 6 Na 2.88-2.89
Na 0.8737 0.1263 0.0000  8 B 2.69-2.78, 4 C 2.69-2.73, 6 Na 2.88-2.89
Na 0.8765 0.6231 0.5015  4 C 2.69-2.73, 8 B 2.69-2.76, 6 Na 2.88-2.89
B 0.0000 0.0000 0.3505  1 C 1.58, 2 B 1.73
B 0.0000 0.5000 0.1689  3 C 1.66-1.67
B 0.2354 0.2354 0.8195  1 C 1.56, 2 B 1.67-1.71
B 0.2498 0.7502 0.6689  3 C 1.66-1.67
B 0.2518 0.2518 0.1620  3 B 1.69-1.73
B 0.5000 0.0000 0.1689  3 C 1.66-1.67
B 0.5000 0.5000 0.3415  3 B 1.69-1.72
B 0.5000 0.5000 0.6859  3 B 1.67-1.72
B 0.7482 0.7482 0.1620  3 B 1.69-1.73
B 0.7502 0.2498 0.6689  3 C 1.66-1.67
B 0.7646 0.7646 0.8195  1 C 1.56, 2 B 1.67-1.71
C 0.0000 0.0000 0.6664  3 B 1.56-1.58
C 0.0000 0.5000 0.8338  3 B 1.66-1.67
C 0.2497 0.7503 0.3337  3 B 1.66-1.67
C 0.5000 0.0000 0.8338  3 B 1.66-1.67
C 0.7503 0.2497 0.3337  3 B 1.66-1.67

## Properties
VASP energy	-5.284	eV/atom
Fermi-level density of states	0.21	states/eV per atom
energy relative to the lowest polymorph listed for this composition	0.87	eV per formula unit
space-group type	Cmm2 (35)
spin magnetization	0.00	Bohr magnetons per cell



Record 11
Entry from Alexandria via LeMat-Bulk: a geometry-optimized La2MgCd structure (PBE).

Unit cell a=5.5590 b=5.5590 c=3.9726 alpha=90.00 beta=90.00 gamma=90.00
With the nearest neighbours (Å) after each atom.
Fractional coordinates of all 4 atoms:
La 0.0000 0.5000 0.0000  4 Cd 3.42, 4 Mg 3.42
La 0.5000 0.0000 0.0000  4 Cd 3.42, 4 Mg 3.42
Mg 0.0000 0.0000 0.5000  8 La 3.42
Cd 0.5000 0.5000 0.5000  8 La 3.42

## Properties
VASP energy	-3.315	eV/atom
Fermi-level density of states	1.12	states/eV per atom
space-group type	P4/mmm (123)
spin magnetization	0.00	Bohr magnetons per cell



Record 12
Entry from Alexandria via LeMat-Bulk: a geometry-optimized Nd5Y3Ho2 structure (PBE).

Unit cell a=11.0689 b=11.0689 c=11.0689 alpha=112.75 beta=77.55 gamma=145.99
With the nearest neighbours (Å) after each atom.
Fractional coordinates of all 20 atoms:
Nd 0.1716 0.7461 0.9177  2 Nd 3.38, 1 Y 3.39, 3 Ho 3.43-3.77
Nd 0.2500 0.2500 0.0000  4 Nd 3.10-3.24
Nd 0.2500 0.5026 0.2526  1 Y 3.03, 5 Nd 3.10-3.38
Nd 0.2500 0.9974 0.7474  1 Y 3.03, 5 Nd 3.10-3.38
Nd 0.3284 0.2461 0.5745  2 Nd 3.38, 1 Y 3.39, 3 Ho 3.43-3.77
Nd 0.6716 0.7539 0.4255  2 Nd 3.38, 1 Y 3.39, 3 Ho 3.43-3.77
Nd 0.7500 0.0026 0.2526  1 Y 3.03, 5 Nd 3.10-3.38
Nd 0.7500 0.4974 0.7474  1 Y 3.03, 5 Nd 3.10-3.38
Nd 0.7500 0.7500 0.0000  4 Nd 3.10-3.24
Nd 0.8284 0.2539 0.0823  2 Nd 3.38, 1 Y 3.39, 3 Ho 3.43-3.77
Y 0.1682 0.0864 0.2546  3 Nd 3.39-3.49, 1 Ho 3.54
Y 0.2500 0.7500 0.5000  2 Nd 3.03, 2 Y 3.24
Y 0.3318 0.5864 0.9181  3 Nd 3.39-3.49, 1 Ho 3.54
Y 0.6682 0.4136 0.0819  3 Nd 3.39-3.49, 1 Ho 3.54
Y 0.7500 0.2500 0.5000  2 Nd 3.03, 2 Y 3.24
Y 0.8318 0.9136 0.7454  3 Nd 3.39-3.49, 1 Ho 3.54
Ho 0.1683 0.4122 0.5804  3 Nd 3.43-3.77, 3 Y 3.49-3.54
Ho 0.3317 0.9122 0.2439  3 Nd 3.43-3.77, 3 Y 3.49-3.54
Ho 0.6683 0.0878 0.7561  3 Nd 3.43-3.77, 3 Y 3.49-3.54
Ho 0.8317 0.5878 0.4196  3 Nd 3.43-3.77, 3 Y 3.49-3.54

## Properties
VASP energy	-4.956	eV/atom
Fermi-level density of states	1.56	states/eV per atom
energy relative to the lowest polymorph listed for this composition	1.04	eV per formula unit
space-group type	Ibam (72)
spin magnetization	0.00	Bohr magnetons per cell